Material: ErSi3Os
Method: DFT, PBE
State: optimized geometry

The structure in POSCAR format:
```
ErSi3Os
1.0
5.729 0.934 0.000
0.274 5.548 0.000
0.000 0.000 5.537
Si Os Er
6 2 2
Direct
0.705 0.899 0.977
0.295 0.101 0.023
0.313 0.489 0.250
0.687 0.511 0.750
0.295 0.101 0.477
0.705 0.899 0.523
0.968 0.128 0.750
0.032 0.872 0.250
0.179 0.598 0.750
0.821 0.402 0.250
```

E = -6.884 eV per atom